## MgCd3 (meta-GGA SCAN)

Data for a crystal of MgCd3 relaxed with PBEsol.

POSCAR file:
```
MgCd3
1.0
4.849 0.000 0.000
-2.425 4.199 0.000
0.000 0.000 8.686
Mg Cd
2 6
Direct
0.333 0.667 0.250 Mg
0.667 0.333 0.750 Mg
0.000 0.000 0.250 Cd
0.000 0.000 0.750 Cd
0.333 0.667 0.581 Cd
0.333 0.667 0.919 Cd
0.667 0.333 0.081 Cd
0.667 0.333 0.419 Cd
```

Results
calculated volume	22.11	A^3/atom
D(E_F)	2.39	states/eV/cell
E above lowest polymorph	0.082	eV per atom
SG	No. 194
crystal system	hexagonal
formation energy from the elements	-0.011	eV per atom
spin magnetization	0.000	Bohr magnetons per cell

***

## Mg5Cd (meta-GGA SCAN)

Data for a crystal of Mg5Cd relaxed with PBEsol.

POSCAR file:
```
Mg5Cd
1.0
3.184 0.000 0.000
0.000 3.184 0.000
0.000 0.000 13.079
Mg Cd
5 1
Direct
0.000 0.000 0.000 Mg
0.000 0.000 0.345 Mg
0.000 0.000 0.655 Mg
0.500 0.500 0.172 Mg
0.500 0.500 0.828 Mg
0.500 0.500 0.500 Cd
```

Results
calculated volume	22.10	A^3/atom
D(E_F)	2.51	states/eV/cell
SG	No. 123
crystal system	tetragonal
formation energy from the elements	-0.040	eV per atom
spin magnetization	0.000	Bohr magnetons per cell

***

## MgCd5 (meta-GGA SCAN)

Data for a crystal of MgCd5 relaxed with PBEsol.

POSCAR file:
```
MgCd5
1.0
2.211 -6.506 0.000
2.211 6.506 0.000
0.000 0.000 4.346
Mg Cd
1 5
Direct
0.000 0.000 0.000 Mg
0.165 0.835 0.500 Cd
0.332 0.668 0.000 Cd
0.500 0.500 0.500 Cd
0.668 0.332 0.000 Cd
0.835 0.165 0.500 Cd
```

Results
calculated volume	20.84	A^3/atom
D(E_F)	1.75	states/eV/cell
SG	No. 65
crystal system	orthorhombic
formation energy from the elements	-0.052	eV per atom
spin magnetization	0.000	Bohr magnetons per cell

***

## MgCd3 (meta-GGA SCAN)

Data for a crystal of MgCd3 relaxed with PBEsol.

POSCAR file:
```
MgCd3
1.0
3.055 -5.449 0.000
3.055 5.449 0.000
0.000 0.000 4.979
Mg Cd
2 6
Direct
0.089 0.911 0.750 Mg
0.911 0.089 0.250 Mg
0.084 0.410 0.750 Cd
0.410 0.084 0.250 Cd
0.412 0.588 0.250 Cd
0.588 0.412 0.750 Cd
0.590 0.916 0.750 Cd
0.916 0.590 0.250 Cd
```

Results
calculated volume	20.72	A^3/atom
D(E_F)	2.74	states/eV/cell
E above lowest polymorph	0.017	eV per atom
SG	No. 63
crystal system	orthorhombic
formation energy from the elements	-0.076	eV per atom
spin magnetization	0.000	Bohr magnetons per cell

***

## Mg3Cd5 (meta-GGA SCAN)

Data for a crystal of Mg3Cd5 relaxed with PBEsol.

POSCAR file:
```
Mg3Cd5
1.0
0.000 7.832 7.847
2.786 0.000 7.847
2.786 7.832 0.000
Mg Cd
6 10
Direct
0.182 0.182 0.818 Mg
0.250 0.250 0.250 Mg
0.318 0.682 0.318 Mg
0.682 0.318 0.682 Mg
0.750 0.750 0.750 Mg
0.818 0.818 0.182 Mg
0.064 0.742 0.258 Cd
0.242 0.436 0.564 Cd
0.250 0.750 0.750 Cd
0.258 0.936 0.064 Cd
0.436 0.242 0.758 Cd
0.564 0.758 0.242 Cd
0.742 0.064 0.936 Cd
0.750 0.250 0.250 Cd
0.758 0.564 0.436 Cd
0.936 0.258 0.742 Cd
```

Results
calculated volume	21.40	A^3/atom
D(E_F)	4.85	states/eV/cell
E above lowest polymorph	0.076	eV per atom
SG	No. 69
crystal system	orthorhombic
formation energy from the elements	-0.044	eV per atom
spin magnetization	0.000	Bohr magnetons per cell

***

## Mg5Cd4 (meta-GGA SCAN)

Data for a crystal of Mg5Cd4 relaxed with PBEsol.

POSCAR file:
```
Mg5Cd4
1.0
8.555 0.000 0.000
-4.278 7.409 0.000
0.000 0.000 6.028
Mg Cd
10 8
Direct
0.000 0.306 0.250 Mg
0.000 0.694 0.750 Mg
0.306 0.000 0.250 Mg
0.306 0.306 0.750 Mg
0.333 0.667 0.000 Mg
0.333 0.667 0.500 Mg
0.667 0.333 0.000 Mg
0.667 0.333 0.500 Mg
0.694 0.000 0.750 Mg
0.694 0.694 0.250 Mg
0.000 0.000 0.000 Cd
0.000 0.000 0.500 Cd
0.000 0.362 0.750 Cd
0.000 0.638 0.250 Cd
0.362 0.000 0.750 Cd
0.362 0.362 0.250 Cd
0.638 0.000 0.250 Cd
0.638 0.638 0.750 Cd
```

Results
calculated volume	21.23	A^3/atom
D(E_F)	7.17	states/eV/cell
E above lowest polymorph	0.000	eV per atom
SG	No. 193
crystal system	hexagonal
formation energy from the elements	-0.123	eV per atom
spin magnetization	0.000	Bohr magnetons per cell

***

## MgCd3 (meta-GGA SCAN)

Data for a crystal of MgCd3 relaxed with PBEsol.

POSCAR file:
```
MgCd3
1.0
-2.191 2.191 8.629
2.191 -2.191 8.629
2.191 2.191 -8.629
Mg Cd
2 6
Direct
0.123 0.123 0.000 Mg
0.877 0.877 0.000 Mg
0.000 0.500 0.500 Cd
0.250 0.750 0.500 Cd
0.373 0.373 0.000 Cd
0.500 0.000 0.500 Cd
0.627 0.627 0.000 Cd
0.750 0.250 0.500 Cd
```

Results
calculated volume	20.72	A^3/atom
D(E_F)	2.71	states/eV/cell
E above lowest polymorph	0.007	eV per atom
SG	No. 139
crystal system	tetragonal
formation energy from the elements	-0.086	eV per atom
spin magnetization	0.000	Bohr magnetons per cell

***

## MgCd5 (meta-GGA SCAN)

Data for a crystal of MgCd5 relaxed with PBEsol.

POSCAR file:
```
MgCd5
1.0
3.112 0.000 0.000
0.000 3.112 0.000
0.000 0.000 12.991
Mg Cd
1 5
Direct
0.000 0.000 0.000 Mg
0.000 0.000 0.332 Cd
0.000 0.000 0.668 Cd
0.500 0.500 0.165 Cd
0.500 0.500 0.500 Cd
0.500 0.500 0.835 Cd
```

Results
calculated volume	20.97	A^3/atom
D(E_F)	2.11	states/eV/cell
SG	No. 123
crystal system	tetragonal
formation energy from the elements	-0.041	eV per atom
spin magnetization	0.000	Bohr magnetons per cell

***

## MgCd3 (meta-GGA SCAN)

Data for a crystal of MgCd3 relaxed with PBEsol.

POSCAR file:
```
MgCd3
1.0
3.177 0.000 0.000
0.000 5.130 0.000
-0.250 0.000 5.230
Mg Cd
1 3
Direct
0.000 0.000 0.000 Mg
0.281 0.500 0.244 Cd
0.500 0.000 0.500 Cd
0.719 0.500 0.756 Cd
```

Results
calculated volume	21.31	A^3/atom
D(E_F)	1.06	states/eV/cell
E above lowest polymorph	0.036	eV per atom
SG	No. 10
crystal system	monoclinic
formation energy from the elements	-0.058	eV per atom
spin magnetization	0.000	Bohr magnetons per cell

***

## MgCd3 (meta-GGA SCAN)

Data for a crystal of MgCd3 relaxed with PBEsol.

POSCAR file:
```
MgCd3
1.0
3.109 0.000 0.000
0.000 3.109 0.000
0.000 0.000 8.644
Mg Cd
1 3
Direct
0.000 0.000 0.000 Mg
0.000 0.000 0.500 Cd
0.500 0.500 0.248 Cd
0.500 0.500 0.752 Cd
```

Results
calculated volume	20.89	A^3/atom
D(E_F)	1.44	states/eV/cell
E above lowest polymorph	0.019	eV per atom
SG	No. 123
crystal system	tetragonal
formation energy from the elements	-0.074	eV per atom
spin magnetization	0.000	Bohr magnetons per cell

***

## MgCd3 (meta-GGA SCAN)

Data for a crystal of MgCd3 relaxed with PBEsol.

POSCAR file:
```
MgCd3
1.0
4.357 0.000 0.000
0.000 4.357 0.000
0.000 0.000 4.357
Mg Cd
1 3
Direct
0.000 0.000 0.000 Mg
0.000 0.500 0.500 Cd
0.500 0.000 0.500 Cd
0.500 0.500 0.000 Cd
```

Results
calculated volume	20.68	A^3/atom
D(E_F)	1.10	states/eV/cell
E above lowest polymorph	0.002	eV per atom
SG	No. 221
crystal system	cubic
formation energy from the elements	-0.091	eV per atom
spin magnetization	0.000	Bohr magnetons per cell

***

## Mg5Cd4 (meta-GGA SCAN)

Data for a crystal of Mg5Cd4 relaxed with PBEsol.

POSCAR file:
```
Mg5Cd4
1.0
-4.613 4.613 2.219
4.613 -4.613 2.219
4.613 4.613 -2.219
Mg Cd
5 4
Direct
0.000 0.000 0.000 Mg
0.331 0.331 0.662 Mg
0.331 0.669 0.000 Mg
0.669 0.331 0.000 Mg
0.669 0.669 0.338 Mg
0.000 0.332 0.332 Cd
0.000 0.668 0.668 Cd
0.332 0.000 0.332 Cd
0.668 0.000 0.668 Cd
```

Results
calculated volume	20.99	A^3/atom
D(E_F)	2.85	states/eV/cell
E above lowest polymorph	0.002	eV per atom
SG	No. 139
crystal system	tetragonal
formation energy from the elements	-0.121	eV per atom
spin magnetization	0.035	Bohr magnetons per cell